# 1
HfTlTeN2: optimized geometry, PBE-GGA.

Lattice parameters (Å, degrees): 4.247 4.247 5.928 90.00 90.00 90.00
Fractional coordinates of all 5 atoms:
1 Tl 0.000 0.000 0.000
2 Te 0.000 0.000 0.500
3 Hf 0.500 0.500 0.500
4 N 0.000 0.500 0.000
5 N 0.500 0.000 0.000

**E_form (uncorrected)**: 8.58 eV per formula unit
**ΔE to the lowest computed polymorph**: 1488.6 meV/atom
**Calculated total energy**: -4.71 eV/atom


# 2
HfTlTeN2: optimized geometry, PBE-GGA.

Lattice parameters (Å, degrees): 4.235 4.235 6.003 90.00 90.00 90.00
Fractional coordinates of all 5 atoms:
1 Tl 0.500 0.500 0.500
2 Te 0.000 0.000 0.500
3 Hf 0.000 0.000 0.000
4 N 0.000 0.500 0.000
5 N 0.500 0.000 0.000

**E_form (uncorrected)**: 1.14 eV per formula unit
**ΔE to the lowest computed polymorph**: 0.0 meV/atom
**Calculated total energy**: -6.19 eV/atom


# 3
HfTlTe2N: optimized geometry, PBE-GGA.

Lattice parameters (Å, degrees): 5.912 5.912 3.994 90.00 90.00 90.00
Fractional coordinates of all 5 atoms:
1 Tl 0.500 0.500 0.500
2 Te 0.000 0.500 0.000
3 Te 0.500 0.000 0.000
4 Hf 0.000 0.000 0.000
5 N 0.000 0.000 0.500

**E_form (uncorrected)**: -0.93 eV per formula unit
**ΔE to the lowest computed polymorph**: 0.0 meV/atom
**Calculated total energy**: -5.57 eV/atom